(1)
First-principles (PBE) data for a relaxed structure of Li3Er2HfSe6, as listed in Alexandria via LeMat-Bulk.

Computed properties:
density: 6.40 g/cm³
crystal system: monoclinic
formation energy (no corrections): -1534 meV per atom
D(E_F): 3.7 states/eV/cell
E: -0.1964 hartree per atom
symmetry: C2/m, No. 12

The structure in POSCAR format:
```
Li3Er2HfSe6
1.0
-6.304 -2.456 -0.802
4.704 -3.694 3.261
-1.242 4.773 4.818
Li Er Hf Se
3 2 1 6
Cartesian
2.252 -1.102 4.994 Li
-5.093 -0.276 2.283 Li
-1.421 -0.689 3.639 Li
1.037 -3.282 1.908 Er
-2.637 -2.868 0.551 Er
0.000 0.000 0.000 Hf
-3.900 -0.879 4.810 Se
-1.531 -3.501 3.081 Se
1.058 -0.498 2.467 Se
-0.374 -1.276 6.112 Se
-1.310 2.124 4.196 Se
-2.467 -0.102 1.166 Se
```

***

(2)
First-principles (PBE) data for a relaxed structure of CuAg6Cl8, as listed in Alexandria via LeMat-Bulk.

Computed properties:
density: 3.64 g/cm³
crystal system: triclinic
formation energy (no corrections): -428 meV per atom
D(E_F): 2.1 states/eV/cell
E: -0.1039 hartree per atom
symmetry: P-1, No. 2

The structure in POSCAR format:
```
CuAg6Cl8
1.0
4.281 0.367 -0.202
0.920 11.196 -7.696
-0.408 -2.649 11.350
Cu Ag Cl
1 6 8
Cartesian
2.141 0.183 -0.101 Cu
3.889 6.812 -3.128 Ag
1.863 6.779 0.544 Ag
4.007 3.348 -1.368 Ag
0.904 2.102 6.580 Ag
2.930 2.135 2.909 Ag
0.786 5.566 4.820 Ag
3.647 0.056 1.599 Cl
2.769 6.412 3.295 Cl
3.198 1.324 7.481 Cl
1.146 8.858 1.854 Cl
2.024 2.503 0.157 Cl
1.595 7.590 -4.029 Cl
0.806 2.861 4.103 Cl
3.987 6.054 -0.651 Cl
```

***

(3)
First-principles (PBE) data for a relaxed structure of Zr3Cl, as listed in Alexandria via LeMat-Bulk.

Computed properties:
density: 5.86 g/cm³
energy above the most stable polymorph in this dataset: 61 meV per atom
crystal system: trigonal
formation energy (no corrections): -350 meV per atom
D(E_F): 4.2 states/eV/cell
E: -0.2654 hartree per atom
symmetry: R-3m, No. 166

The structure in POSCAR format:
```
Zr3Cl
1.0
9.516 -0.003 -0.001
8.947 3.242 -0.001
8.947 1.570 2.836
Cl Zr
1 3
Cartesian
0.000 0.000 0.000 Cl
20.415 3.581 2.110 Zr
13.705 2.404 1.417 Zr
6.995 1.227 0.723 Zr
```

***

(4)
First-principles (PBE) data for a relaxed structure of NdSmP, as listed in Alexandria via LeMat-Bulk.

Computed properties:
calculated formation energy: -0.896 eV/atom
density: 6.67 g/cm³
crystal system: orthorhombic
D(E_F): 13.8 states/eV/cell
E: -0.2154 hartree per atom
symmetry: Pbcm, No. 57

The structure in POSCAR format:
```
NdSmP
1.0
-1.480 4.267 4.105
4.738 -3.228 5.063
5.182 4.006 -2.296
P Nd Sm
4 4 4
Cartesian
0.217 5.115 3.769 P
7.506 2.001 5.096 P
4.979 5.352 5.240 P
2.743 1.765 3.625 P
5.343 0.276 3.843 Nd
3.119 4.708 2.971 Nd
3.859 2.575 0.919 Nd
4.602 2.410 5.895 Nd
0.939 3.358 5.861 Sm
6.782 3.763 3.008 Sm
7.445 4.941 6.560 Sm
0.276 2.180 2.309 Sm
```

***

(5)
First-principles (PBE) data for a relaxed structure of La2ZnCl, as listed in Alexandria via LeMat-Bulk.

Computed properties:
density: 5.80 g/cm³
energy above the most stable polymorph in this dataset: 244 meV per atom
crystal system: orthorhombic
formation energy (no corrections): -687 meV per atom
D(E_F): 5.0 states/eV/cell
E: -0.1444 hartree per atom
symmetry: Immm, No. 71

The structure in POSCAR format:
```
La2ZnCl
1.0
5.429 -0.034 -0.017
0.218 5.425 0.017
-2.242 -3.305 3.678
Cl La Zn
1 2 1
Cartesian
3.005 -0.322 1.831 Cl
5.563 5.311 0.000 La
2.907 2.775 0.000 La
0.400 2.408 1.847 Zn
```

***

(6)
First-principles (PBE) data for a relaxed structure of ZrAsBr2, as listed in Alexandria via LeMat-Bulk.

Computed properties:
density: 5.99 g/cm³
energy above the most stable polymorph in this dataset: 971 meV per atom
crystal system: orthorhombic
formation energy (no corrections): 144 meV per atom
D(E_F): 4.4 states/eV/cell
E: -0.1467 hartree per atom
symmetry: Cmmm, No. 65

The structure in POSCAR format:
```
ZrAsBr2
1.0
5.425 -0.001 0.000
-1.908 5.079 0.000
0.000 0.000 3.280
As Br Zr
1 2 1
Cartesian
-0.954 2.539 1.640 As
0.000 0.000 0.000 Br
1.759 2.539 0.000 Br
2.713 0.000 1.640 Zr
```

***

(7)
First-principles (PBE) data for a relaxed structure of NdTmBeAg, as listed in Alexandria via LeMat-Bulk.

Computed properties:
calculated formation energy: -0.026 eV/atom
density: 7.75 g/cm³
crystal system: cubic
D(E_F): 2.4 states/eV/cell
E: -0.1463 hartree per atom
symmetry: F-43m, No. 216

The structure in POSCAR format:
```
NdTmBeAg
1.0
-4.886 1.266 -0.486
-2.550 -1.295 -4.187
-3.581 -3.583 0.219
Be Tm Nd Ag
1 1 1 1
Cartesian
-8.262 -2.709 -3.341 Be
-5.508 -1.806 -2.227 Tm
0.000 0.000 0.000 Nd
-2.754 -0.903 -1.114 Ag
```